Record 1
A plane-wave DFT calculation with PBE-GGA was carried out for an optimized crystal structure of Y2CdSe.

```
Y2CdSe
1.0
-0.9841 6.4139 -5.2931
-4.0648 2.4880 -6.8855
0.6293 -3.4586 7.6004
Cd Se Y
1 1 2
Direct
0.4486 0.4486 0.0000
0.2049 0.7049 0.5000
0.0610 0.0610 0.0000
0.7856 0.2856 0.5000
```

Space group: No. 44
Uncorrected formation energy, eV/atom: -0.819
Final energy, eV/atom: -5.151
Polymorph energy (0 for the lowest one), eV/atom: 0.2182



Record 2
A plane-wave DFT calculation with PBE-GGA was carried out for an optimized crystal structure of Nd3Ir.

```
Nd3Ir
1.0
-0.1871 2.9782 2.2736
-1.6802 -2.0117 2.4969
8.3960 -2.3438 3.7612
Ir Nd
1 3
Direct
0.0000 0.0000 0.9834
0.0000 0.5000 0.4687
0.5000 0.5000 0.1233
0.5000 0.0000 0.7580
```

Space group: No. 25
DFT formation energy, meV/atom: -87
Final energy, eV/atom: -5.878



Record 3
A plane-wave DFT calculation with PBE-GGA was carried out for an optimized crystal structure of Ba2TcMo2.

```
Ba2TcMo2
1.0
5.0240 0.0000 0.0000
0.0000 5.0240 0.0000
0.0000 0.0000 5.9016
Mo Ba Tc
2 2 1
Direct
0.0000 0.5000 0.0000
0.5000 0.0000 0.0000
0.0000 0.0000 0.0000
0.0000 0.0000 0.5000
0.5000 0.5000 0.5000
```

Space group: No. 123
DFT formation energy, meV/atom: 3032
Final energy, eV/atom: -4.143
Polymorph energy (0 for the lowest one), eV/atom: 1.8945



Record 4
A plane-wave DFT calculation with PBE-GGA was carried out for an optimized crystal structure of LaSm4Y2Sc.

```
LaSm4Y2Sc
1.0
5.0584 0.0000 0.0000
0.0001 11.2847 -1.3516
0.0000 2.7651 4.2259
La Sm Y Sc
1 4 2 1
Direct
0.5000 0.5000 0.0000
0.0000 0.7482 0.7515
0.0000 0.2518 0.2485
0.5000 0.7484 0.2512
0.5000 0.2516 0.7488
0.0000 0.0000 0.0000
0.5000 0.0000 0.5000
0.0000 0.5000 0.5000
```

Space group: No. 123
DFT formation energy, meV/atom: 33
Final energy, eV/atom: -5.350



Record 5
A plane-wave DFT calculation with PBE-GGA was carried out for an optimized crystal structure of NdScFe.

```
NdScFe
1.0
6.6005 0.0000 0.0000
-3.3002 6.0496 0.0000
0.0000 0.0000 7.0358
Fe Sc Nd
4 4 4
Direct
0.5893 0.1786 0.5374
0.9107 0.8214 0.0374
0.4107 0.8214 0.4626
0.0893 0.1786 0.9626
0.2877 0.0753 0.2500
0.2123 0.9247 0.7500
0.7123 0.9247 0.7500
0.7877 0.0753 0.2500
0.8050 0.6100 0.3893
0.6950 0.3900 0.8893
0.1950 0.3900 0.6107
0.3050 0.6100 0.1107
```

Space group: No. 64
DFT formation energy, meV/atom: 19
Final energy, eV/atom: -6.502



Record 6
A plane-wave DFT calculation with PBE-GGA was carried out for an optimized crystal structure of TaGaCu2.

```
TaGaCu2
1.0
-1.9329 -2.0810 -2.8408
2.8454 -2.5061 -0.1002
-1.7203 -2.0604 2.6799
Cu Ga Ta
2 1 1
Direct
0.0000 0.0000 0.5000
0.0000 0.5000 0.0000
0.5000 0.5000 0.5000
0.5000 0.0000 0.0000
```

Space group: No. 123
DFT formation energy, meV/atom: -6
Final energy, eV/atom: -5.774



Record 7
A plane-wave DFT calculation with PBE-GGA was carried out for an optimized crystal structure of AlHF3.

```
AlHF3
1.0
-1.9044 -0.2388 3.1259
0.6374 -3.6106 0.1125
3.0695 0.6016 1.9161
H Al F
1 1 3
Direct
0.5000 0.5000 0.5000
0.0000 0.0000 0.0000
0.0000 0.5000 0.0000
0.0000 0.0000 0.5000
0.5000 0.0000 0.0000
```

Space group: No. 221
Final energy, eV/atom: -4.876
Polymorph energy (0 for the lowest one), eV/atom: 0.0000



Record 8
A plane-wave DFT calculation with PBE-GGA was carried out for an optimized crystal structure of CoPAu.

```
CoPAu
1.0
-3.0897 2.0108 0.5955
-0.0929 -3.7159 0.3574
0.8668 0.3102 3.4501
Au Co P
1 1 1
Direct
0.0000 0.0000 0.0000
0.3333 0.6667 0.4998
0.6667 0.3333 0.5002
```

Space group: No. 187
DFT formation energy, meV/atom: -37
Final energy, eV/atom: -5.302